The following is a PBE calculation of a geometry-optimized BaZrMn structure, from Alexandria via LeMat-Bulk. Values from VASP.

Properties
The calculation puts the electronic total energy at -4.93 eV/atom. As for the energy above the most stable polymorph in this dataset: 1137.2 meV/atom.

Structure (Quantum ESPRESSO input):
```
&SYSTEM
  ibrav = 0, nat = 3, ntyp = 3
/
ATOMIC_SPECIES
Ba 137.33 Ba.upf
Zr 91.22 Zr.upf
Mn 54.94 Mn.upf
CELL_PARAMETERS angstrom
0.0000 3.5168 3.5168
3.5168 0.0000 3.5168
3.5168 3.5168 0.0000
ATOMIC_POSITIONS crystal
Ba 0.0000 0.0000 0.0000
Zr 0.2500 0.2500 0.2500
Mn 0.7500 0.7500 0.7500
```